No. 1
HoLuSi2: optimized geometry, GGA-PBE.

abc: 4.5181 4.5181 5.6438
angles: 66.40 66.40 60.00
With the nearest neighbours (Å) after each atom.
Fractional positions:
Lu 0.5000 0.5000 0.5000  6 Si 2.87
Si 0.7536 0.7536 0.7391  3 Lu 2.87, 3 Ho 2.92
Ho 0.0000 0.0000 0.0000  6 Si 2.92
Si 0.2464 0.2464 0.2609  3 Lu 2.87, 3 Ho 2.92

calculated volume	88.47	Å³ per cell
SG	No. 166
VASP energy	-5.497	eV/atom

***

No. 2
ScPdNF2: optimized geometry, GGA-PBE.

abc: 3.9440 3.9440 4.4795
angles: 90.00 90.00 90.00
With the nearest neighbours (Å) after each atom.
Fractional positions:
N 0.0000 0.0000 0.5000  2 Sc 2.24
Pd 0.5000 0.5000 0.5000  4 N 2.79, 8 F 2.98
Sc 0.0000 0.0000 0.0000  4 F 1.97
F 0.5000 0.0000 0.0000  2 Sc 1.97
F 0.0000 0.5000 0.0000  2 Sc 1.97

energy above the lowest structure with this stoichiometry	0.000	eV/atom
calculated volume	69.68	Å³ per cell
SG	No. 123

***

No. 3
Sc13Ga2: optimized geometry, GGA-PBE.

abc: 6.0773 7.8363 8.3506
angles: 116.67 89.19 100.50
With the nearest neighbours (Å) after each atom.
Fractional positions:
Sc 0.0359 0.4983 0.7065  2 Ga 2.91, 5 Sc 3.04-3.25
Sc 0.4430 0.8286 0.8158  1 Ga 2.83, 5 Sc 3.02-3.15
Ga 0.1561 0.2240 0.3603  6 Sc 2.79-2.91
Sc 0.7633 0.0085 0.4279  2 Ga 2.87-3.15, 4 Sc 3.13-3.20
Sc 0.2748 0.3521 0.9628  11 Sc 3.09-3.42
Sc 0.5258 0.3981 0.6207  1 Ga 2.83, 3 Sc 3.07-3.15
Sc 0.5570 0.1714 0.1842  1 Ga 2.83, 5 Sc 3.02-3.15
Sc 0.2577 0.7931 0.1547  9 Sc 3.09-3.29, 1 Ga 3.20
Sc 0.9641 0.5017 0.2935  2 Ga 2.91, 5 Sc 3.04-3.25
Ga 0.8439 0.7760 0.6397  6 Sc 2.79-2.91
Sc 0.7252 0.6479 0.0372  11 Sc 3.09-3.42
Sc 0.4742 0.6019 0.3793  1 Ga 2.83, 3 Sc 3.07-3.15
Sc 0.2367 0.9915 0.5721  2 Ga 2.87-3.15, 4 Sc 3.13-3.20
Sc 0.7423 0.2069 0.8453  9 Sc 3.09-3.29, 1 Ga 3.20
Sc 0.0000 0.0000 0.0000  2 Ga 2.79, 4 Sc 3.09-3.10

calculated volume	348.37	Å³ per cell
SG	No. 2
energy of formation from the pure elements	-0.11	eV per atom

***

No. 4
BaLiIn: optimized geometry, GGA-PBE.

abc: 4.9261 6.5413 7.0869
angles: 70.78 69.78 90.25
With the nearest neighbours (Å) after each atom.
Fractional positions:
In 0.8122 0.5278 0.6503  3 Li 2.85-2.93, 1 In 3.13
In 0.6069 0.1007 0.0584  3 Li 2.85-2.93, 1 In 3.13
Ba 0.3138 0.1100 0.6433  4 Li 3.54-3.85, 5 In 3.68-3.91, 1 Ba 3.90
Ba 0.1053 0.5181 0.0653  4 Li 3.53-3.84, 5 In 3.68-3.91, 1 Ba 3.90
Li 0.4312 0.6985 0.4129  2 Li 2.84-2.86, 3 In 2.85-2.93
Li 0.9886 0.9293 0.2955  2 Li 2.84-2.86, 3 In 2.85-2.93

energy above the lowest structure with this stoichiometry	0.015	eV/atom
calculated volume	200.54	Å³ per cell
SG	No. 2
energy of formation from the pure elements	-0.26	eV per atom

***

No. 5
Ag4RuBr: optimized geometry, GGA-PBE.

abc: 5.5414 5.5414 5.5414
angles: 60.00 60.00 60.00
With the nearest neighbours (Å) after each atom.
Fractional positions:
Br 0.7500 0.7500 0.7500  12 Ag 3.25, 4 Ru 3.39
Ag 0.8768 0.3744 0.3744  6 Ag 2.76-2.78
Ag 0.3744 0.8768 0.3744  6 Ag 2.76-2.78
Ru 0.0000 0.0000 0.0000  12 Ag 3.25, 4 Br 3.39
Ag 0.3744 0.3744 0.8768  6 Ag 2.76-2.78
Ag 0.3744 0.3744 0.3744  6 Ag 2.76-2.78

calculated volume	120.32	Å³ per cell
SG	No. 216
VASP energy	-3.041	eV/atom

***

No. 6
TbY5In6: optimized geometry, GGA-PBE.

abc: 5.3282 9.2333 9.2333
angles: 120.20 106.77 106.77
With the nearest neighbours (Å) after each atom.
Fractional positions:
Y 0.0000 0.3334 0.6666  8 In 3.26
Y 0.5000 0.5000 0.5000  8 In 3.25-3.26
Tb 0.0000 0.0000 0.0000  8 In 3.26-3.27
Y 0.0000 0.6666 0.3334  8 In 3.26
In 0.7496 0.5826 0.9166  7 Y 3.26, 1 Tb 3.27
In 0.7496 0.9166 0.5826  7 Y 3.26, 1 Tb 3.27
In 0.2504 0.4174 0.0834  7 Y 3.26, 1 Tb 3.27
In 0.2504 0.0834 0.4174  7 Y 3.26, 1 Tb 3.27
In 0.7508 0.2508 0.2508  6 Y 3.25-3.26, 2 Tb 3.26
Y 0.5000 0.1662 0.8338  8 In 3.26
In 0.2492 0.7492 0.7492  6 Y 3.25-3.26, 2 Tb 3.26
Y 0.5000 0.8338 0.1662  8 In 3.26

calculated volume	320.19	Å³ per cell
SG	No. 71
energy of formation from the pure elements	-0.50	eV per atom

***

No. 7
Cs5Mg: optimized geometry, GGA-PBE.

abc: 5.4239 8.1324 13.4992
angles: 107.53 90.00 90.00
With the nearest neighbours (Å) after each atom.
Fractional positions:
Cs 0.5000 0.1217 0.2434  2 Mg 4.14
Mg 0.0000 0.0000 0.0000  4 Cs 4.14
Cs 0.5000 0.8783 0.7566  2 Mg 4.14
Cs 0.0000 0.6858 0.3715  12 Cs 5.16-5.65
Cs 0.0000 0.3142 0.6285  12 Cs 5.16-5.65
Cs 0.5000 0.5000 0.0000  4 Mg 4.89, 6 Cs 5.13-5.42

calculated volume	567.79	Å³ per cell
SG	No. 65
energy of formation from the pure elements	0.12	eV per atom

***

No. 8
HfZrTlCu: optimized geometry, GGA-PBE.

abc: 4.8491 4.8491 4.8491
angles: 60.00 60.00 60.00
With the nearest neighbours (Å) after each atom.
Fractional positions:
Zr 0.0000 0.0000 0.0000  4 Cu 2.97, 4 Tl 2.97
Cu 0.2500 0.2500 0.2500  4 Zr 2.97, 4 Hf 2.97
Hf 0.5000 0.5000 0.5000  4 Tl 2.97, 4 Cu 2.97
Tl 0.7500 0.7500 0.7500  4 Hf 2.97, 4 Zr 2.97

calculated volume	80.63	Å³ per cell
SG	No. 216
energy of formation from the pure elements	0.05	eV per atom